[1]
This record from Alexandria via LeMat-Bulk describes a geometry-optimized Na4SmHo3Te8 structure. The functional is GGA-PBE.

Cell and atoms, written as POSCAR:
```
Na4SmHo3Te8
1.0
4.436 2.561 7.566
-4.436 2.561 7.566
0.000 -5.122 7.566
Na Sm Ho Te
4 1 3 8
Direct
0.000 0.000 0.000
0.000 0.500 0.500
0.500 0.000 0.500
0.500 0.500 0.000
0.500 0.500 0.500
0.000 0.000 0.500
0.000 0.500 0.000
0.500 0.000 0.000
0.239 0.747 0.747
0.243 0.243 0.243
0.253 0.253 0.761
0.253 0.761 0.253
0.747 0.239 0.747
0.747 0.747 0.239
0.757 0.757 0.757
0.761 0.253 0.253
```

Results
- Formation energy from raw total energies: -1.31 eV/atom
- Spin magnetization: 0.00 Bohr magnetons per cell
- VASP energy: -4.37 eV/atom
- Density: 5.66 g/cm³
- Space group: R-3m


[2]
This record from Alexandria via LeMat-Bulk describes a geometry-optimized Na3SmHo2Te6 structure. The functional is GGA-PBE.

Cell and atoms, written as POSCAR:
```
Na3SmHo2Te6
1.0
3.848 -6.664 0.000
3.848 6.664 0.000
-2.567 0.000 7.567
Na Sm Ho Te
3 1 2 6
Direct
0.000 0.000 0.000
0.335 0.665 0.000
0.665 0.335 0.000
0.500 0.500 0.500
0.167 0.833 0.500
0.833 0.167 0.500
0.083 0.422 0.267
0.238 0.238 0.733
0.422 0.083 0.267
0.578 0.917 0.733
0.762 0.762 0.267
0.917 0.578 0.733
```

Results
- Formation energy from raw total energies: -1.31 eV/atom
- Spin magnetization: 0.00 Bohr magnetons per cell
- VASP energy: -4.37 eV/atom
- Density: 5.63 g/cm³
- Space group: C2/m


[3]
This record from Alexandria via LeMat-Bulk describes a geometry-optimized NaSm4Ho3Te8 structure. The functional is GGA-PBE.

Cell and atoms, written as POSCAR:
```
NaSm4Ho3Te8
1.0
4.395 2.538 7.230
-4.395 2.538 7.230
0.000 -5.075 7.230
Na Sm Ho Te
1 4 3 8
Direct
0.000 0.000 0.000
0.000 0.000 0.500
0.000 0.500 0.000
0.500 0.000 0.000
0.500 0.500 0.500
0.000 0.500 0.500
0.500 0.000 0.500
0.500 0.500 0.000
0.247 0.247 0.747
0.247 0.747 0.247
0.253 0.253 0.253
0.253 0.753 0.753
0.747 0.247 0.247
0.747 0.747 0.747
0.753 0.253 0.753
0.753 0.753 0.253
```

Results
- Formation energy from raw total energies: -1.33 eV/atom
- Spin magnetization: 0.00 Bohr magnetons per cell
- VASP energy: -5.02 eV/atom
- Density: 7.35 g/cm³
- Space group: R-3m


[4]
This record from Alexandria via LeMat-Bulk describes a geometry-optimized NaSm3Ho3Te8 structure. The functional is GGA-PBE.

Cell and atoms, written as POSCAR:
```
NaSm3Ho3Te8
1.0
4.380 2.529 7.173
-4.380 2.529 7.173
0.000 -5.058 7.173
Na Sm Ho Te
1 3 3 8
Direct
0.000 0.000 0.000
0.000 0.000 0.500
0.000 0.500 0.000
0.500 0.000 0.000
0.000 0.500 0.500
0.500 0.000 0.500
0.500 0.500 0.000
0.253 0.253 0.253
0.257 0.257 0.738
0.257 0.738 0.257
0.262 0.743 0.743
0.738 0.257 0.257
0.743 0.262 0.743
0.743 0.743 0.262
0.747 0.747 0.747
```

Results
- Formation energy from raw total energies: -1.34 eV/atom
- Spin magnetization: 0.00 Bohr magnetons per cell
- VASP energy: -4.96 eV/atom
- Density: 6.93 g/cm³
- Space group: R-3m